Record 1
Entry from Alexandria: a relaxed Ag2TePt crystal (PBE).

The value obtained for the raw formation energy is 0.202 eV/atom.

It has space group R-3m (No. 166, hexagonal axes), with a = 3.0177 Å, b = 3.0177 Å, c = 30.5888 Å, α = 90.00°, β = 90.00° and γ = 120.00°. The distinct sites, in fractional coordinates, are Ag at (0.0000, 0.0000, 0.2409), Te at (0.0000, 0.0000, 0.0000) and Pt at (0.0000, 0.0000, 0.5000).

Record 2
Entry from Alexandria: a relaxed NdHfZn crystal (PBE).

For the total energy, the calculation gives -5.390 eV per atom.

It has space group I4mm (No. 107), with a = 3.374 Å, b = 3.374 Å, c = 12.439 Å, α = 90.00°, β = 90.00° and γ = 90.00°. The distinct sites, in fractional coordinates, are Nd at (0.000, 0.000, 0.000), Hf at (0.000, 0.000, 0.309) and Zn at (0.000, 0.000, 0.680).

Record 3
Entry from Alexandria: a relaxed Tb4CdCu crystal (PBE).

The value obtained for the energy above the most stable polymorph in this dataset is 0 meV/atom.

It has space group P4/mmm (No. 123), with a = 3.544 Å, b = 3.544 Å, c = 12.798 Å, α = 90.00°, β = 90.00° and γ = 90.00°. The distinct sites, in fractional coordinates, are Tb at (0.000, 0.000, 0.134), Tb at (0.500, 0.500, 0.335), Cd at (0.000, 0.000, 0.500) and Cu at (0.500, 0.500, 0.000).